{
  "formula": "AcHg2Br8",
  "functional": "PBE",
  "state": "relaxed",
  "cell": [[7.539, -0.970, -0.677], [-0.008, 8.586, 1.393], [-0.008, 4.263, 7.582]],
  "species": ["Ac", "Hg", "Hg", "Br", "Br", "Br", "Br", "Br", "Br", "Br", "Br"],
  "fractional_positions": [[0.000, 0.000, 0.000], [0.706, 0.198, 0.198], [0.294, 0.802, 0.802], [0.195, 0.161, 0.634], [0.195, 0.634, 0.161], [0.805, 0.839, 0.366], [0.312, 0.643, 0.643], [0.805, 0.366, 0.839], [0.313, 0.146, 0.146], [0.687, 0.854, 0.854], [0.688, 0.357, 0.357]],
  "crystal_system": "monoclinic",
  "formation_energy_uncorrected_ev_per_fu": -9.41
}

=====

{
  "formula": "La2NdDyTm2",
  "functional": "PBE",
  "state": "relaxed",
  "cell": [[5.653, 0.000, 0.000], [0.000, 6.900, 0.000], [0.000, 0.000, 10.352]],
  "species": ["La", "La", "La", "La", "Nd", "Nd", "Dy", "Dy", "Tm", "Tm", "Tm", "Tm"],
  "fractional_positions": [[0.500, 0.058, 0.027], [0.000, 0.324, 0.204], [0.500, 0.558, 0.973], [0.000, 0.824, 0.796], [0.500, 0.196, 0.693], [0.500, 0.696, 0.307], [0.000, 0.951, 0.470], [0.000, 0.451, 0.530], [0.000, 0.314, 0.870], [0.500, 0.202, 0.377], [0.000, 0.814, 0.130], [0.500, 0.702, 0.623]],
  "crystal_system": "orthorhombic"
}

=====

The calculation returns the following density values, one per record and in order: 4.7 7.6 g cm⁻³.
The calculation returns the following DFT total energy values, one per record and in order: -27.506 -27.746 eV/f.u..
The calculation returns the following magnetization values, one per record and in order: 0.76 0.00 μB per formula unit.